Below is a relaxed structure of Sm6Er12Mg, with properties calculated at the PBE-GGA level.

abc: 8.6091 8.6091 8.6091
angles: 97.46 97.46 97.46
With the nearest neighbours (Å) after each atom.
Atoms (fractional coordinates):
Sm (0.0911, 0.3648, 0.3648)  6 Er 3.31-3.71, 2 Sm 3.54, 1 Mg 3.55
Sm (0.3648, 0.0911, 0.3648)  6 Er 3.31-3.71, 2 Sm 3.54, 1 Mg 3.55
Sm (0.3648, 0.3648, 0.0911)  6 Er 3.31-3.71, 2 Sm 3.54, 1 Mg 3.55
Sm (0.6352, 0.6352, 0.9089)  6 Er 3.31-3.71, 2 Sm 3.54, 1 Mg 3.55
Sm (0.6352, 0.9089, 0.6352)  6 Er 3.31-3.71, 2 Sm 3.54, 1 Mg 3.55
Sm (0.9089, 0.6352, 0.6352)  6 Er 3.31-3.71, 2 Sm 3.54, 1 Mg 3.55
Er (0.0933, 0.0933, 0.6655)  7 Er 3.20-3.51
Er (0.0933, 0.6655, 0.0933)  7 Er 3.20-3.51
Er (0.2384, 0.5000, 0.7616)  4 Sm 3.31-3.48, 6 Er 3.39-3.51, 1 Mg 3.39
Er (0.2384, 0.7616, 0.5000)  4 Sm 3.31-3.48, 6 Er 3.39-3.51, 1 Mg 3.39
Er (0.3345, 0.9067, 0.9067)  7 Er 3.20-3.51
Er (0.5000, 0.2384, 0.7616)  4 Sm 3.31-3.48, 6 Er 3.39-3.51, 1 Mg 3.39
Er (0.5000, 0.7616, 0.2384)  4 Sm 3.31-3.48, 6 Er 3.39-3.51, 1 Mg 3.39
Er (0.6655, 0.0933, 0.0933)  7 Er 3.20-3.51
Er (0.7616, 0.2384, 0.5000)  4 Sm 3.31-3.48, 1 Mg 3.39, 6 Er 3.39-3.51
Er (0.7616, 0.5000, 0.2384)  4 Sm 3.31-3.48, 1 Mg 3.39, 6 Er 3.39-3.51
Er (0.9067, 0.3345, 0.9067)  7 Er 3.20-3.51
Er (0.9067, 0.9067, 0.3345)  7 Er 3.20-3.51
Mg (0.5000, 0.5000, 0.5000)  6 Er 3.39, 6 Sm 3.55

Output
Spin magnetization in μB per cell: 0.00
E above lowest polymorph in meV per atom: 4
E_tot in eV/atom: -4.32
Formation energy in kcal/mol of atoms: 3.1